8
Lattice="6.547 0.000 0.000 -3.273 5.669 0.000 0.000 0.000 4.978" Properties=species:S:1:pos:R:3 comment="TmMgHg6 (PBE, optimized geometry)" crystal_system=hexagonal pbc="T T T"
Tm 0.000 3.780 2.489
Hg 3.273 3.827 2.489
Hg 4.951 0.921 2.489
Hg 1.596 0.921 2.489
Hg 0.000 5.663 0.000
Hg 1.631 2.838 0.000
Hg -1.631 2.838 0.000
Mg 0.000 0.000 0.000

***

4
Lattice="4.263 0.000 0.000 0.000 4.626 0.000 0.000 0.000 4.626" Properties=species:S:1:pos:R:3 comment="TmMg2Hg (PBE, optimized geometry)" crystal_system=orthorhombic pbc="T T T"
Tm 0.000 2.313 1.167
Hg 0.000 0.000 3.459
Mg 2.131 2.313 3.481
Mg 2.131 0.000 1.145

***

no.,VASP energy (eV for the cell shown)
1,-9.275
2,-8.599